# K3Ni3IrO8

A relaxed structure of K3Ni3IrO8 (PBE+U, Alexandria).

For the total energy, the calculation gives -5.036 eV per atom. As for the density of states at the Fermi level: 0.47 states/eV/atom.

The structure belongs to space group C2/m (No. 12); the cell edges are 10.7383, 6.2043 and 7.0564 Å and the angles 90.00°, 120.52° and 90.00°. The distinct sites, in fractional coordinates, are K at (0.0000, 0.0000, 0.0000), K at (0.2500, 0.2500, 0.0000), Ni at (0.0000, 0.5000, 0.5000), Ni at (0.2500, 0.2500, 0.5000), Ir at (0.0000, 0.0000, 0.5000), O at (0.0196, 0.2319, 0.3275), O at (0.2118, 0.0000, 0.6726) and O at (0.2172, 0.5000, 0.6535).